Entry from Alexandria via LeMat-Bulk: an optimized crystal structure of Pr6DyEr12 (PBE-GGA).

Unit cell a=8.864 b=8.864 c=8.864 alpha=100.01 beta=100.01 gamma=100.01
Atoms (fractional coordinates):
Pr 0.237 0.720 0.720
Pr 0.280 0.280 0.763
Pr 0.280 0.763 0.280
Pr 0.720 0.237 0.720
Pr 0.720 0.720 0.237
Pr 0.763 0.280 0.280
Dy 0.500 0.500 0.500
Er 0.000 0.384 0.616
Er 0.000 0.616 0.384
Er 0.048 0.048 0.334
Er 0.048 0.334 0.048
Er 0.334 0.048 0.048
Er 0.384 0.000 0.616
Er 0.384 0.616 0.000
Er 0.616 0.000 0.384
Er 0.616 0.384 0.000
Er 0.666 0.952 0.952
Er 0.952 0.666 0.952
Er 0.952 0.952 0.666

For the volume, the calculation gives 660 Å³/cell. The symmetry is R-3m.

Entry from Alexandria via LeMat-Bulk: an optimized crystal structure of PrDy5Er2 (PBE-GGA).

Unit cell a=5.540 b=15.823 c=6.541 alpha=90.00 beta=114.91 gamma=90.00
Atoms (fractional coordinates):
Pr 0.229 0.250 0.457
Pr 0.771 0.750 0.543
Dy 0.045 0.750 0.091
Dy 0.119 0.050 0.235
Dy 0.119 0.450 0.235
Dy 0.420 0.090 0.840
Dy 0.420 0.410 0.840
Dy 0.580 0.590 0.160
Dy 0.580 0.910 0.160
Dy 0.881 0.550 0.765
Dy 0.881 0.950 0.765
Dy 0.955 0.250 0.909
Er 0.280 0.627 0.562
Er 0.280 0.873 0.562
Er 0.720 0.127 0.438
Er 0.720 0.373 0.438

For the volume, the calculation gives 520 Å³/cell. The symmetry is P2_1/m.

Entry from Alexandria via LeMat-Bulk: an optimized crystal structure of PrDyEr (PBE-GGA).

Unit cell a=8.015 b=8.015 c=8.015 alpha=154.10 beta=154.10 gamma=36.96
Atoms (fractional coordinates):
Pr 0.000 0.000 0.000
Dy 0.670 0.670 0.000
Er 0.332 0.332 0.000

For the volume, the calculation gives 98 Å³/cell. The symmetry is I4mm.

What energy of formation values result from the calculations? In sequence: 894 111 7 kJ/mol of formula units.
What ρ values result from the calculations? In sequence: 7.58 8.23 7.97 g/cm3.
What Fermi-level density of states values result from the calculations? In sequence: 25.6 24.5 4.1 states/eV/cell.